No. 1
Entry from Alexandria: an optimized crystal structure of La2CeTl2 (PBE).

ΔE to the lowest computed polymorph (meV per atom): 0
Energy of formation (kcal/mol of atoms): -5.68

Structure (CIF):
```
data_La2CeTl2
_chemical_formula_sum 'La4 Ce2 Tl4'
_cell_length_a 5.0625
_cell_length_b 7.3777
_cell_length_c 8.7952
_cell_angle_alpha 90.00
_cell_angle_beta 90.00
_cell_angle_gamma 90.00
_space_group_name_H-M_alt 'I m m m'
_space_group_IT_number 71
_space_group_name_Hall '-I 2 2'
loop_
_atom_site_label
_atom_site_type_symbol
_atom_site_fract_x
_atom_site_fract_y
_atom_site_fract_z
La1 La 0.0000 0.0000 0.1923
Ce1 Ce 0.0000 0.5000 0.0000
Tl1 Tl 0.0000 0.2847 0.5000
```

---

No. 2
Entry from Alexandria: an optimized crystal structure of Ac2Zn4Ga (PBE).

Energy of formation (kcal/mol of atoms): -7.52

Structure (CIF):
```
data_Ac2Zn4Ga
_chemical_formula_sum 'Ac4 Zn8 Ga2'
_cell_length_a 6.1800
_cell_length_b 6.2426
_cell_length_c 8.8656
_cell_angle_alpha 90.00
_cell_angle_beta 105.81
_cell_angle_gamma 90.00
_space_group_name_H-M_alt 'P 1 21/m 1'
_space_group_IT_number 11
loop_
_space_group_symop_operation_xyz
'x,y,z'
'-x,-y,-z'
'-x,y+1/2,-z'
'x,-y+1/2,z'
loop_
_atom_site_label
_atom_site_type_symbol
_atom_site_fract_x
_atom_site_fract_y
_atom_site_fract_z
Ac1 Ac 0.1289 0.2500 0.4030
Ac2 Ac 0.2578 0.7500 0.0183
Zn1 Zn 0.2827 0.2500 0.0894
Zn2 Zn 0.3126 0.7500 0.4049
Zn3 Zn 0.4181 0.5358 0.6952
Ga1 Ga 0.1417 0.2500 0.7820
```